[1]
{"formula": "Ac2LaCe3Sb6", "functional": "PBE", "state": "optimized geometry", "dos_ef_per_ev_cell": 19.0, "formation_energy_uncorrected_ev_per_atom": -1.130, "m_tot_mub_per_fu": 2.5, "cell": [[4.006, -6.937, 0.000], [4.006, 6.937, 0.000], [-2.672, 0.000, 7.560]], "species": ["Ac", "Ac", "La", "Ce", "Ce", "Ce", "Sb", "Sb", "Sb", "Sb", "Sb", "Sb"], "frac_coords": [[0.166, 0.834, 0.000], [0.834, 0.166, 0.000], [0.500, 0.500, 0.000], [0.000, 0.000, 0.500], [0.332, 0.668, 0.500], [0.668, 0.332, 0.500], [0.085, 0.412, 0.736], [0.261, 0.261, 0.266], [0.412, 0.085, 0.736], [0.588, 0.915, 0.264], [0.739, 0.739, 0.734], [0.915, 0.588, 0.264]]}

***

[2]
{"formula": "ErB4Rh6", "functional": "PBE", "state": "optimized geometry", "dos_ef_per_ev_cell": 7.4, "ef_mev_per_atom": -388.6, "m_tot_mub_per_fu": 0.0, "cell": [[-2.840, 2.840, 4.122], [2.840, -2.840, 4.122], [2.840, 2.840, -4.122]], "species": ["Er", "B", "B", "B", "B", "Rh", "Rh", "Rh", "Rh", "Rh", "Rh"], "frac_coords": [[0.000, 0.000, 0.000], [0.279, 0.578, 0.000], [0.422, 0.422, 0.701], [0.578, 0.279, 0.000], [0.721, 0.721, 0.299], [0.000, 0.500, 0.500], [0.103, 0.103, 0.633], [0.470, 0.470, 0.367], [0.500, 0.000, 0.500], [0.530, 0.897, 0.000], [0.897, 0.530, 0.000]]}

***

[3]
{"formula": "Ca2ZnCdIr", "functional": "PBE", "state": "optimized geometry", "dos_ef_per_ev_cell": 3.4, "ef_mev_per_atom": -139.4, "m_tot_mub_per_fu": 0.0, "cell": [[5.432, 0.000, 0.000], [0.000, 5.432, 0.000], [0.000, 0.000, 4.898]], "species": ["Ca", "Ca", "Zn", "Cd", "Ir"], "frac_coords": [[0.000, 0.500, 0.000], [0.500, 0.000, 0.000], [0.000, 0.000, 0.500], [0.500, 0.500, 0.500], [0.000, 0.000, 0.000]]}

***

[4]
{"formula": "TbThSiS", "functional": "PBE", "state": "optimized geometry", "dos_ef_per_ev_cell": 1.9, "formation_energy_uncorrected_ev_per_atom": -1.321, "m_tot_mub_per_fu": 0.0, "cell": [[2.074, 1.197, 6.617], [-2.074, 1.197, 6.617], [0.000, -2.395, 6.617]], "species": ["Tb", "Th", "Si", "S"], "frac_coords": [[0.000, 0.000, 0.000], [0.501, 0.501, 0.501], [0.252, 0.252, 0.252], [0.748, 0.748, 0.748]]}